1.
An optimized crystal structure of Be2Hg2SbO6. Source: Alexandria, functional PBE.

Cell lengths 5.1901, 5.1901, 6.3226 Å; angles 90.00, 90.00, 120.00 degrees
Space group P-3 (No. 147)
One atom of each set of equivalent atoms:
Be (0.3333, 0.6667, 0.3315)
Hg (0.3333, 0.6667, 0.8623)
Sb (0.0000, 0.0000, 0.5000)
O (0.0667, 0.7224, 0.3151)

For the raw formation energy, the calculation gives -1.339 eV per atom. As for the density: 7.17 g cm⁻³.

***

2.
An optimized crystal structure of Ta2Be16Ni. Source: Alexandria, functional PBE.

Cell lengths 7.3895, 7.3895, 10.7580 Å; angles 90.00, 90.00, 120.00 degrees
Space group R3m (No. 160, hexagonal axes)
One atom of each set of equivalent atoms:
Ta (0.0000, 0.0000, 0.0000)
Ta (0.0000, 0.0000, 0.3201)
Be (0.0000, 0.0000, 0.5559)
Be (0.0002, 0.2918, 0.6605)
Be (0.0001, 0.5001, 0.1587)
Be (0.0054, 0.5027, 0.8144)
Be (0.1688, 0.3375, 0.8365)
Ni (0.0000, 0.0000, 0.7551)

As for the density: 5.53 g cm⁻³. The calculation puts the formation energy at -0.25 eV per atom.

***

3.
An optimized crystal structure of HoAg4Sn. Source: Alexandria, functional PBE.

Cell lengths 7.9487, 7.9487, 7.9487 Å; angles 90.00, 90.00, 90.00 degrees
Space group F-43m (No. 216)
One atom of each set of equivalent atoms:
Ho (0.0000, 0.0000, 0.0000)
Ag (0.1253, 0.1253, 0.3747)
Sn (0.2500, 0.2500, 0.7500)

As for the density: 9.46 g cm⁻³. The calculation puts the formation energy at -0.16 eV per atom.

***

4.
An optimized crystal structure of Cs2ZnSBr6. Source: Alexandria, functional PBE.

Cell lengths 7.8467, 7.8467, 11.5743 Å; angles 90.00, 90.00, 90.00 degrees
Space group I4/mmm (No. 139)
One atom of each set of equivalent atoms:
Cs (0.0000, 0.5000, 0.2500)
Zn (0.0000, 0.0000, 0.0000)
S (0.0000, 0.0000, 0.5000)
Br (0.0000, 0.0000, 0.2001)
Br (0.2274, 0.2274, 0.5000)

For the raw formation energy, the calculation gives -0.916 eV per atom. As for the density: 3.93 g cm⁻³.

***

5.
An optimized crystal structure of Ac2MgCdPd6. Source: Alexandria, functional PBE.

Cell lengths 12.4466, 5.6600, 8.8495 Å; angles 90.00, 134.25, 90.00 degrees
Space group C2/m (No. 12)
One atom of each set of equivalent atoms:
Ac (0.0368, 0.0000, 0.2880)
Mg (0.0000, 0.5000, 0.0000)
Cd (0.0000, 0.5000, 0.5000)
Pd (0.1782, 0.5000, 0.9294)
Pd (0.2438, 0.2513, 0.2537)

As for the density: 9.14 g cm⁻³. The calculation puts the formation energy at -0.61 eV per atom.

***

6.
An optimized crystal structure of Tm2ScNi2. Source: Alexandria, functional PBE.

Cell lengths 3.8522, 6.0036, 8.8044 Å; angles 90.00, 90.00, 90.00 degrees
Space group Immm (No. 71)
One atom of each set of equivalent atoms:
Tm (0.0000, 0.0000, 0.1961)
Sc (0.0000, 0.5000, 0.0000)
Ni (0.0000, 0.2945, 0.5000)

As for the density: 8.16 g cm⁻³. The calculation puts the formation energy at -0.37 eV per atom. For the energy above the lowest structure with this stoichiometry, the calculation gives 0 meV per atom.

***

7.
An optimized crystal structure of K3PdSe. Source: Alexandria, functional PBE.

Cell lengths 6.2063, 6.2063, 6.2063 Å; angles 90.00, 90.00, 90.00 degrees
Space group Pm-3m (No. 221)
One atom of each set of equivalent atoms:
K (0.0000, 0.0000, 0.5000)
Pd (0.5000, 0.5000, 0.5000)
Se (0.0000, 0.0000, 0.0000)

For the raw formation energy, the calculation gives -0.218 eV per atom. As for the density: 2.10 g cm⁻³. For the energy above the lowest structure with this stoichiometry, the calculation gives 0 meV per atom.

***

8.
An optimized crystal structure of ZnInHg. Source: Alexandria, functional PBE.

Cell lengths 6.6013, 6.6013, 6.6013 Å; angles 90.00, 90.00, 90.00 degrees
Space group F-43m (No. 216)
One atom of each set of equivalent atoms:
Zn (0.0000, 0.0000, 0.0000)
In (0.2500, 0.2500, 0.2500)
Hg (0.2500, 0.2500, 0.7500)

As for the density: 8.79 g cm⁻³. The calculation puts the formation energy at 0.06 eV per atom. For the energy above the lowest structure with this stoichiometry, the calculation gives 10 meV per atom.

***

Number 1: spin magnetization 0.00 μB per formula unit. Number 2: spin magnetization 0.00 μB per formula unit. Number 3: spin magnetization 0.00 μB per formula unit. Number 4: spin magnetization 0.00 μB per formula unit. Number 5: spin magnetization 0.00 μB per formula unit. Number 6: spin magnetization 0.00 μB per formula unit. Number 7: spin magnetization 0.86 μB per formula unit. Number 8: spin magnetization 0.00 μB per formula unit.